# 1
# Ho2Er6Mg

Ho2Er6Mg after structural relaxation (PBE, the Alexandria database).

CIF file:
```
data_Ho2Er6Mg
_chemical_formula_sum 'Ho4 Er12 Mg2'
_symmetry_space_group_name_H-M 'P 42/m n m'
_symmetry_Int_Tables_number 136
_symmetry_space_group_name_Hall '-P 4n 2n'
_cell_length_a 10.404
_cell_length_b 10.404
_cell_length_c 4.974
_cell_angle_alpha 90.00
_cell_angle_beta 90.00
_cell_angle_gamma 90.00
loop_
_atom_site_label
_atom_site_fract_x
_atom_site_fract_y
_atom_site_fract_z
Ho1 0.167 0.167 0.000
Er1 0.000 0.334 0.500
Er2 0.167 0.833 0.000
Mg1 0.000 0.000 0.500
```

The calculation puts the energy above the lowest structure with this stoichiometry at 0.0 meV per atom. The crystal system is tetragonal. The magnetization is 0.0000 μB/atom.

***

# 2
# AsSe2

AsSe2 after structural relaxation (PBE, the Alexandria database).

CIF file:
```
data_AsSe2
_chemical_formula_sum 'As4 Se8'
_symmetry_space_group_name_H-M 'I 4/m c m'
_symmetry_Int_Tables_number 140
_symmetry_space_group_name_Hall '-I 4 2c'
_cell_length_a 6.142
_cell_length_b 6.142
_cell_length_c 6.925
_cell_angle_alpha 90.00
_cell_angle_beta 90.00
_cell_angle_gamma 90.00
loop_
_atom_site_label
_atom_site_fract_x
_atom_site_fract_y
_atom_site_fract_z
As1 0.000 0.000 0.250
Se1 0.149 0.351 0.000
```

Its uncorrected formation energy is 0.8 eV per formula unit. The crystal system is tetragonal. The magnetization is 0.0000 μB/atom.

***

# 3
# Ho5Tm6

Ho5Tm6 after structural relaxation (PBE, the Alexandria database).

CIF file:
```
data_Ho5Tm6
_chemical_formula_sum 'Ho10 Tm12'
_symmetry_space_group_name_H-M 'C 1 2/m 1'
_symmetry_Int_Tables_number 12
_cell_length_a 8.934
_cell_length_b 12.827
_cell_length_c 6.220
_cell_angle_alpha 90.00
_cell_angle_beta 107.22
_cell_angle_gamma 90.00
loop_
_symmetry_equiv_pos_as_xyz
'x,y,z'
'-x,-y,-z'
'-x,y,-z'
'x,-y,z'
'x+1/2,y+1/2,z'
'-x+1/2,-y+1/2,-z'
'-x+1/2,y+1/2,-z'
'x+1/2,-y+1/2,z'
loop_
_atom_site_label
_atom_site_fract_x
_atom_site_fract_y
_atom_site_fract_z
Ho1 0.000 0.000 0.000
Ho2 0.000 0.129 0.500
Ho3 0.000 0.259 0.000
Tm1 0.164 0.500 0.188
Tm2 0.179 0.369 0.671
```

The total energy is -4.375 eV per atom. The crystal system is monoclinic. The magnetization is 0.0000 μB/atom.

***

# 4
# YBeN2

YBeN2 after structural relaxation (PBE, the Alexandria database).

CIF file:
```
data_YBeN2
_chemical_formula_sum 'Y4 Be4 N8'
_symmetry_space_group_name_H-M 'I -4 2 d'
_symmetry_Int_Tables_number 122
_symmetry_space_group_name_Hall 'I -4 2bw'
_cell_length_a 4.396
_cell_length_b 4.396
_cell_length_c 10.024
_cell_angle_alpha 90.00
_cell_angle_beta 90.00
_cell_angle_gamma 90.00
loop_
_atom_site_label
_atom_site_fract_x
_atom_site_fract_y
_atom_site_fract_z
Y1 0.000 0.000 0.000
Be1 0.000 0.000 0.500
N1 0.148 0.250 0.625
```

Its uncorrected formation energy is -2.5 eV per formula unit. The crystal system is tetragonal. The magnetization is 0.2500 μB/atom.

***

# 5
# CsCeAgCl6

CsCeAgCl6 after structural relaxation (PBE, the Alexandria database).

CIF file:
```
data_CsCeAgCl6
_chemical_formula_sum 'Cs2 Ce2 Ag2 Cl12'
_symmetry_space_group_name_H-M 'P -3 1 c'
_symmetry_Int_Tables_number 163
_symmetry_space_group_name_Hall '-P 3 2c'
_cell_length_a 7.0245
_cell_length_b 7.0245
_cell_length_c 15.6820
_cell_angle_alpha 90.00
_cell_angle_beta 90.00
_cell_angle_gamma 120.00
loop_
_atom_site_label
_atom_site_fract_x
_atom_site_fract_y
_atom_site_fract_z
Cs1 0.0000 0.0000 0.0000
Ce1 0.3333 0.6667 0.2500
Ag1 0.3333 0.6667 0.7500
Cl1 0.0137 0.3777 0.1503
```

Its uncorrected formation energy is -15.0 eV per formula unit. The crystal system is trigonal. The magnetization is 0.0000 μB/atom.

***

# 6
# Pr2SbPb

Pr2SbPb after structural relaxation (PBE, the Alexandria database).

CIF file:
```
data_Pr2SbPb
_chemical_formula_sum 'Pr2 Sb1 Pb1'
_symmetry_space_group_name_H-M 'P 4/m m m'
_symmetry_Int_Tables_number 123
_symmetry_space_group_name_Hall '-P 4 2'
_cell_length_a 3.869
_cell_length_b 3.869
_cell_length_c 8.283
_cell_angle_alpha 90.00
_cell_angle_beta 90.00
_cell_angle_gamma 90.00
loop_
_atom_site_label
_atom_site_fract_x
_atom_site_fract_y
_atom_site_fract_z
Pr1 0.000 0.000 0.229
Sb1 0.500 0.500 0.000
Pb1 0.500 0.500 0.500
```

Its uncorrected formation energy is -2.8 eV per formula unit. The calculation puts the energy above the lowest structure with this stoichiometry at 192.3 meV per atom. The crystal system is tetragonal. The magnetization is 0.0000 μB/atom.

***

# 7
# Pr2Ga5Pt3

Pr2Ga5Pt3 after structural relaxation (PBE, the Alexandria database).

CIF file:
```
data_Pr2Ga5Pt3
_chemical_formula_sum 'Pr8 Ga20 Pt12'
_symmetry_space_group_name_H-M 'I b a m'
_symmetry_Int_Tables_number 72
_symmetry_space_group_name_Hall '-I 2 2c'
_cell_length_a 10.418
_cell_length_b 12.634
_cell_length_c 5.923
_cell_angle_alpha 90.00
_cell_angle_beta 90.00
_cell_angle_gamma 90.00
loop_
_atom_site_label
_atom_site_fract_x
_atom_site_fract_y
_atom_site_fract_z
Pr1 0.227 0.134 0.000
Ga1 0.000 0.000 0.250
Ga2 0.000 0.283 0.250
Ga3 0.159 0.398 0.000
Pt1 0.000 0.500 0.250
Pt2 0.106 0.141 0.500
```

The total energy is -5.196 eV per atom. The crystal system is orthorhombic. The magnetization is 0.0000 μB/atom.

***

# 8
# AlTlSbS4

AlTlSbS4 after structural relaxation (PBE, the Alexandria database).

CIF file:
```
data_AlTlSbS4
_chemical_formula_sum 'Al2 Tl2 Sb2 S8'
_symmetry_space_group_name_H-M 'P 1 21/m 1'
_symmetry_Int_Tables_number 11
_cell_length_a 6.366
_cell_length_b 6.807
_cell_length_c 8.886
_cell_angle_alpha 90.00
_cell_angle_beta 109.61
_cell_angle_gamma 90.00
loop_
_symmetry_equiv_pos_as_xyz
'x,y,z'
'-x,-y,-z'
'-x,y+1/2,-z'
'x,-y+1/2,z'
loop_
_atom_site_label
_atom_site_fract_x
_atom_site_fract_y
_atom_site_fract_z
Al1 0.239 0.250 0.334
Tl1 0.270 0.750 0.062
Sb1 0.208 0.750 0.542
S1 0.009 0.001 0.705
S2 0.459 0.250 0.184
S3 0.486 0.250 0.583
```

Its uncorrected formation energy is -3.1 eV per formula unit. The crystal system is monoclinic. The magnetization is 0.0000 μB/atom.